Density functional theory data (GGA-PBEsol) for a relaxed structure of GaReHg2H.

Calculated values
As for the space-group type: P4/mmm (123). For the uncorrected energy, the calculation gives -16.7 eV/f.u.

abc: 3.002 5.155 5.155
angles: 90.00 90.00 90.00
Fractional positions:
1 Re 0.500 0.500 0.500
2 Hg 0.000 0.000 0.500
3 Hg 0.000 0.500 0.000
4 Ga 0.000 0.000 0.000
5 H 0.500 0.000 0.000